## Sc4SnPd (PBE-GGA)

Data for a geometry-optimized Sc4SnPd structure.

Results
V	22.8	Å³ per atom
total energy	-6.263	eV per atom
SG	No. 15
formation enthalpy at 0 K	-510	meV/atom

a b c (Å): 7.640 7.640 5.542
angles (deg): 102.32 102.32 113.60
Positions (direct):
Sc  0.065  0.706  0.928
Sc  0.212  0.366  0.663
Sc  0.294  0.935  0.572
Sc  0.366  0.212  0.163
Sc  0.634  0.788  0.837
Sc  0.706  0.065  0.428
Sc  0.788  0.634  0.337
Sc  0.935  0.294  0.072
Sn  0.375  0.625  0.250
Sn  0.625  0.375  0.750
Pd  0.001  0.999  0.750
Pd  0.999  0.001  0.250